1.
A plane-wave DFT calculation with PBE was carried out for an optimized crystal structure of RbPaTlF6.

abc: 7.1282 7.1282 8.9739
angles: 90.00 90.00 120.00
With the nearest neighbours (Å) after each atom.
Element x y z (fractional)
Rb (0.3333, 0.6667, 0.2500)  6 F 2.92
Rb (0.6667, 0.3333, 0.7500)  6 F 2.92
Pa (0.3333, 0.6667, 0.7500)  6 F 2.20
Pa (0.6667, 0.3333, 0.2500)  6 F 2.20
Tl (0.0000, 0.0000, 0.0000)  6 F 2.86
Tl (0.0000, 0.0000, 0.5000)  6 F 2.86
F (0.0729, 0.4031, 0.6201)  1 Pa 2.20
F (0.0729, 0.6698, 0.8799)  1 Pa 2.20
F (0.3302, 0.4031, 0.8799)  1 Pa 2.20
F (0.3302, 0.9271, 0.6201)  1 Pa 2.20
F (0.4031, 0.0729, 0.1201)  1 Pa 2.20
F (0.4031, 0.3302, 0.3799)  1 Pa 2.20
F (0.5969, 0.6698, 0.6201)  1 Pa 2.20
F (0.5969, 0.9271, 0.8799)  1 Pa 2.20
F (0.6698, 0.0729, 0.3799)  1 Pa 2.20
F (0.6698, 0.5969, 0.1201)  1 Pa 2.20
F (0.9271, 0.3302, 0.1201)  1 Pa 2.20
F (0.9271, 0.5969, 0.3799)  1 Pa 2.20

Results
**Total magnetization**: 1.92 μB per cell
**Raw formation energy**: -3.1699 eV/atom
**Space-group type**: P-31c
**Calculated volume**: 197.4 Å³/f.u.

***

2.
A plane-wave DFT calculation with PBE was carried out for an optimized crystal structure of Rb2PaTlF8.

abc: 7.5990 7.5990 7.5990
angles: 131.33 131.33 71.29
With the nearest neighbours (Å) after each atom.
Element x y z (fractional)
Rb (0.0000, 0.0000, 0.0000)  8 F 2.88
Rb (0.7500, 0.2500, 0.5000)  8 F 2.91
Pa (0.2500, 0.7500, 0.5000)  8 F 2.23
Tl (0.5000, 0.5000, 0.0000)  8 F 2.88
F (0.1485, 0.0603, 0.4998)  1 Pa 2.23
F (0.1485, 0.6487, 0.0881)  1 Pa 2.23
F (0.3513, 0.4395, 0.4998)  1 Pa 2.23
F (0.3513, 0.8515, 0.9119)  1 Pa 2.23
F (0.5605, 0.0603, 0.9119)  1 Pa 2.23
F (0.5605, 0.6487, 0.5002)  1 Pa 2.23
F (0.9397, 0.4395, 0.0881)  1 Pa 2.23
F (0.9397, 0.8515, 0.5002)  1 Pa 2.23

Results
**Total magnetization**: 0.00 μB per cell
**Raw formation energy**: -3.2330 eV/atom
**Space-group type**: I-4m2
**Calculated volume**: 242.2 Å³/f.u.

***

3.
A plane-wave DFT calculation with PBE was carried out for an optimized crystal structure of PaRhF.

abc: 7.1081 3.7127 7.8199
angles: 90.00 90.00 90.00
With the nearest neighbours (Å) after each atom.
Element x y z (fractional)
Pa (0.1967, 0.2500, 0.2036)  2 F 2.38-2.57
Pa (0.3033, 0.7500, 0.7036)  2 F 2.38-2.57
Pa (0.6967, 0.2500, 0.2964)  2 F 2.38-2.57
Pa (0.8033, 0.7500, 0.7964)  2 F 2.38-2.57
Rh (0.0119, 0.2500, 0.6305)  4 Pa 2.71-2.84, 2 Rh 2.76, 1 F 2.96
Rh (0.4881, 0.7500, 0.1305)  4 Pa 2.71-2.84, 2 Rh 2.76, 1 F 2.96
Rh (0.5119, 0.2500, 0.8695)  4 Pa 2.71-2.84, 2 Rh 2.76, 1 F 2.96
Rh (0.9881, 0.7500, 0.3695)  4 Pa 2.71-2.84, 2 Rh 2.76, 1 F 2.96
F (0.1181, 0.7500, 0.9568)  2 Pa 2.38-2.57, 2 F 2.59
F (0.3819, 0.2500, 0.4568)  2 Pa 2.38-2.57, 2 F 2.59
F (0.6181, 0.7500, 0.5432)  2 Pa 2.38-2.57, 2 F 2.59
F (0.8819, 0.2500, 0.0432)  2 Pa 2.38-2.57, 2 F 2.59

Results
**Total magnetization**: 0.00 μB per cell
**Raw formation energy**: -1.7878 eV/atom
**Space-group type**: Pnma
**Calculated volume**: 51.6 Å³/f.u.

***

4.
A plane-wave DFT calculation with PBE was carried out for an optimized crystal structure of PaRuF.

abc: 9.3364 9.3364 9.3364
angles: 23.35 23.35 23.35
With the nearest neighbours (Å) after each atom.
Element x y z (fractional)
Pa (0.2460, 0.2460, 0.2460)  3 F 2.52, 3 Ru 2.64
Pa (0.7540, 0.7540, 0.7540)  3 F 2.52, 3 Ru 2.64
Ru (0.3658, 0.3658, 0.3658)  3 Pa 2.64, 3 Ru 2.81
Ru (0.6342, 0.6342, 0.6342)  3 Pa 2.64, 3 Ru 2.81
F (0.1340, 0.1340, 0.1340)  3 Pa 2.52, 3 F 2.81
F (0.8660, 0.8660, 0.8660)  3 Pa 2.52, 3 F 2.81

Results
**Total magnetization**: 0.00 μB per cell
**Raw formation energy**: -1.4827 eV/atom
**Space-group type**: R-3m
**Calculated volume**: 56.1 Å³/f.u.

***

5.
A plane-wave DFT calculation with PBE was carried out for an optimized crystal structure of Pa2RuF.

abc: 3.1214 3.1214 26.1365
angles: 90.00 90.00 120.00
With the nearest neighbours (Å) after each atom.
Element x y z (fractional)
Pa (0.0000, 0.0000, 0.2465)  3 F 2.76, 3 Ru 2.90
Pa (0.0000, 0.0000, 0.7535)  3 F 2.76, 3 Ru 2.90
Pa (0.3333, 0.6667, 0.4202)  3 F 2.76, 3 Ru 2.90
Pa (0.3333, 0.6667, 0.9132)  3 F 2.76, 3 Ru 2.90
Pa (0.6667, 0.3333, 0.0868)  3 F 2.76, 3 Ru 2.90
Pa (0.6667, 0.3333, 0.5798)  3 F 2.76, 3 Ru 2.90
Ru (0.0000, 0.0000, 0.0000)  6 Pa 2.90, 6 Ru 3.12
Ru (0.3333, 0.6667, 0.6667)  6 Pa 2.90, 6 Ru 3.12
Ru (0.6667, 0.3333, 0.3333)  6 Pa 2.90, 6 Ru 3.12
F (0.0000, 0.0000, 0.5000)  6 Pa 2.76
F (0.3333, 0.6667, 0.1667)  6 Pa 2.76
F (0.6667, 0.3333, 0.8333)  6 Pa 2.76

Results
**Total magnetization**: 0.00 μB per cell
**Raw formation energy**: -0.9528 eV/atom
**Space-group type**: R-3m
**Calculated volume**: 73.5 Å³/f.u.

***

6.
A plane-wave DFT calculation with PBE was carried out for an optimized crystal structure of Pa2SF8.

abc: 7.2610 7.2610 4.5138
angles: 93.33 93.33 62.92
With the nearest neighbours (Å) after each atom.
Element x y z (fractional)
Pa (0.2098, 0.2098, 0.0640)  3 F 2.03-2.23
Pa (0.7902, 0.7902, 0.9360)  3 F 2.03-2.23
S (0.0000, 0.0000, 0.0000)  2 Pa 2.60
F (0.0957, 0.5334, 0.8148)  2 Pa 2.23-2.43, 1 F 2.44
F (0.1725, 0.1725, 0.5594)  2 Pa 2.29-2.31
F (0.3597, 0.3597, 0.2759)  1 Pa 2.03
F (0.4666, 0.9043, 0.1852)  2 Pa 2.23-2.43, 1 F 2.44
F (0.5334, 0.0957, 0.8148)  2 Pa 2.23-2.43, 1 F 2.44
F (0.6403, 0.6403, 0.7241)  1 Pa 2.03
F (0.8275, 0.8275, 0.4406)  2 Pa 2.29-2.31
F (0.9043, 0.4666, 0.1852)  2 Pa 2.23-2.43, 1 F 2.44

Results
**Total magnetization**: 0.11 μB per cell
**Raw formation energy**: -3.4357 eV/atom
**Space-group type**: C2/m
**Calculated volume**: 211.4 Å³/f.u.

***

7.
A plane-wave DFT calculation with PBE was carried out for an optimized crystal structure of Pa2SF.

abc: 3.5615 3.5615 20.4119
angles: 90.00 90.00 120.00
With the nearest neighbours (Å) after each atom.
Element x y z (fractional)
Pa (0.0000, 0.0000, 0.2448)  3 F 2.60, 3 S 2.74
Pa (0.0000, 0.0000, 0.7552)  3 F 2.60, 3 S 2.74
Pa (0.3333, 0.6667, 0.4219)  3 F 2.60, 3 S 2.74
Pa (0.3333, 0.6667, 0.9115)  3 F 2.60, 3 S 2.74
Pa (0.6667, 0.3333, 0.0885)  3 F 2.60, 3 S 2.74
Pa (0.6667, 0.3333, 0.5781)  3 F 2.60, 3 S 2.74
S (0.0000, 0.0000, 0.0000)  6 Pa 2.74
S (0.3333, 0.6667, 0.6667)  6 Pa 2.74
S (0.6667, 0.3333, 0.3333)  6 Pa 2.74
F (0.0000, 0.0000, 0.5000)  6 Pa 2.60
F (0.3333, 0.6667, 0.1667)  6 Pa 2.60
F (0.6667, 0.3333, 0.8333)  6 Pa 2.60

Results
**Total magnetization**: 0.00 μB per cell
**Raw formation energy**: -1.5204 eV/atom
**Space-group type**: R-3m
**Calculated volume**: 74.7 Å³/f.u.

***

8.
A plane-wave DFT calculation with PBE was carried out for an optimized crystal structure of PaSF.

abc: 6.2850 6.2850 6.2850
angles: 90.00 90.00 90.00
With the nearest neighbours (Å) after each atom.
Element x y z (fractional)
Pa (0.0000, 0.0000, 0.0000)  4 S 2.72, 4 F 2.72
Pa (0.0000, 0.5000, 0.5000)  4 S 2.72, 4 F 2.72
Pa (0.5000, 0.0000, 0.5000)  4 S 2.72, 4 F 2.72
Pa (0.5000, 0.5000, 0.0000)  4 S 2.72, 4 F 2.72
S (0.2500, 0.2500, 0.2500)  4 Pa 2.72
S (0.2500, 0.7500, 0.7500)  4 Pa 2.72
S (0.7500, 0.2500, 0.7500)  4 Pa 2.72
S (0.7500, 0.7500, 0.2500)  4 Pa 2.72
F (0.2500, 0.2500, 0.7500)  4 Pa 2.72
F (0.2500, 0.7500, 0.2500)  4 Pa 2.72
F (0.7500, 0.2500, 0.2500)  4 Pa 2.72
F (0.7500, 0.7500, 0.7500)  4 Pa 2.72

Results
**Total magnetization**: 8.12 μB per cell
**Distance to the lowest polymorph of the same formula**: 0.2576 eV/atom
**Raw formation energy**: -2.1028 eV/atom
**Space-group type**: F-43m
**Calculated volume**: 62.1 Å³/f.u.

***

Q: Look up the raw formation energy of the eighth one.
A: -2.1028 eV/atom

***

Q: Number 8 is which compound?
A: PaSF

***

Q: The highest calculated volume belongs to which entry?
A: Rb2PaTlF8